[1]
A geometry-optimized Cs3In2Ag4 structure, computed with PBE-GGA.

## Properties
Calculated formation energy (eV per atom): -0.023

Cell lengths 4.955, 7.339, 10.248 Å; angles 109.78, 90.00, 109.73 degrees
Atoms (fractional coordinates):
Cs 0.374 0.748 0.626
Cs 0.000 0.000 0.000
Cs 0.626 0.252 0.374
In 0.315 0.629 0.225
In 0.685 0.371 0.775
Ag 0.759 0.519 0.078
Ag 0.083 0.165 0.636
Ag 0.917 0.835 0.364
Ag 0.241 0.481 0.922

[2]
A geometry-optimized CsInAg2 structure, computed with PBE-GGA.

## Properties
Calculated formation energy (eV per atom): -0.055

Cell lengths 4.935, 4.935, 7.279 Å; angles 70.19, 70.19, 60.00 degrees
Atoms (fractional coordinates):
Cs 0.500 0.500 0.500
Ag 0.321 0.321 0.037
Ag 0.679 0.679 0.963
In 0.000 0.000 0.000

[3]
A geometry-optimized Cs5In6Ag structure, computed with PBE-GGA.

## Properties
Calculated formation energy (eV per atom): -0.035

Cell lengths 8.949, 8.291, 9.916 Å; angles 65.29, 79.95, 65.34 degrees
Atoms (fractional coordinates):
Cs 0.500 0.233 0.534
Cs 0.000 0.645 0.709
Cs 0.000 0.355 0.291
Cs 0.500 0.500 0.000
Cs 0.500 0.767 0.466
Ag 0.000 0.000 0.000
In 0.675 0.999 0.000
In 0.820 0.958 0.274
In 0.180 0.767 0.274
In 0.180 0.042 0.726
In 0.820 0.233 0.726
In 0.325 0.001 0.000

[4]
A geometry-optimized CsIn2AgIr structure, computed with PBE-GGA.

## Properties
Calculated formation energy (eV per atom): -0.013

Cell lengths 5.204, 5.204, 5.601 Å; angles 90.00, 90.00, 90.00 degrees
Atoms (fractional coordinates):
Cs 0.500 0.500 0.500
Ir 0.000 0.000 0.000
Ag 0.000 0.000 0.500
In 0.000 0.500 0.000
In 0.500 0.000 0.000

Number 1: spin magnetization 0.00 μB per formula unit, calculated volume 327 Å³ per cell, VASP energy -19.65 eV/f.u.. Number 2: spin magnetization 0.00 μB per formula unit, calculated volume 141 Å³ per cell, VASP energy -9.52 eV/f.u.. Number 3: spin magnetization 0.00 μB per formula unit, calculated volume 607 Å³ per cell, VASP energy -23.97 eV/f.u.. Number 4: spin magnetization 0.00 μB per formula unit, calculated volume 152 Å³ per cell, VASP energy -18.11 eV/f.u..